First-principles (PBE) data for a relaxed Pm2SmDy2Y2 crystal, as listed in Alexandria.

Lattice parameters (Å, degrees): 8.7814 8.7814 8.7814 38.15 38.15 38.15
Last column: nearest neighbours and their distance in Å.
Element x y z (fractional)
Pm 0.1387 0.1387 0.1387  1 Sm 3.38, 1 Dy 3.43, 3 Y 3.52, 3 Pm 3.58
Pm 0.8613 0.8613 0.8613  1 Sm 3.38, 1 Dy 3.43, 3 Y 3.52, 3 Pm 3.58
Sm 0.0000 0.0000 0.0000  2 Pm 3.38, 6 Dy 3.57
Dy 0.2792 0.2792 0.2792  4 Y 3.42-3.50, 1 Pm 3.43, 3 Sm 3.57
Dy 0.7208 0.7208 0.7208  4 Y 3.42-3.50, 1 Pm 3.43, 3 Sm 3.57
Y 0.4229 0.4229 0.4229  4 Dy 3.42-3.50, 3 Pm 3.52, 1 Y 3.76
Y 0.5771 0.5771 0.5771  4 Dy 3.42-3.50, 3 Pm 3.52, 1 Y 3.76

## Properties
ΔE_f	0.138	eV/atom
SG	R-3m (166)
total magnetic moment	0.00	μB/cell